## K2MnH2F6 (GGA+U)

Data for an optimized crystal structure of K2MnH2F6.

Computed properties:
Its uncorrected energy is -4.79 eV/atom. As for the space group: No. 12. Its mass density is 2.81 Mg/m³.

a b c (Å): 5.819 5.471 6.620
angles (deg): 118.54 90.00 122.12
Fractional positions:
H  0.890  0.779  0.760
H  0.110  0.221  0.240
K  0.735  0.470  0.193
K  0.265  0.530  0.807
F  0.797  0.595  0.792
F  0.203  0.405  0.208
F  0.764  0.029  0.288
F  0.236  0.971  0.712
F  0.735  0.971  0.712
F  0.265  0.029  0.288
Mn  0.500  0.000  0.500